A geometry-optimized HoTcN2 structure, computed with GGA-PBE.

Summary:
The value obtained for the final energy is -33.288 eV per cell. Its excess energy over the best structure of this formula in the dataset is 11.37 kcal/mol of atoms. For the raw formation energy, the calculation gives -423 meV/atom.

Cell: 5.7938 5.7938 5.7938 Å, 31.95 31.95 31.95°
Fractional coordinates of all 4 atoms:
Ho: 0.0000 0.0000 0.0000
Tc: 0.1767 0.1767 0.1767
N: 0.4214 0.4214 0.4214
N: 0.5757 0.5757 0.5757